Below is crystalline Na2PdPtPb2 at its relaxed geometry, with properties calculated at the GGA-PBE level.

Geometry as POSCAR:
```
Na2PdPtPb2
1.0
-3.291 6.721 3.492
3.291 -6.721 3.492
3.291 6.721 -3.492
Na Pd Pt Pb
4 2 2 4
Direct
0.150 0.249 0.399 Na
0.350 0.749 0.100 Na
0.650 0.251 0.900 Na
0.850 0.751 0.601 Na
0.250 0.750 0.500 Pd
0.750 0.250 0.500 Pd
0.250 0.250 0.000 Pt
0.750 0.750 0.000 Pt
0.106 0.752 0.858 Pb
0.394 0.252 0.647 Pb
0.606 0.748 0.353 Pb
0.894 0.248 0.142 Pb
```

Values from the calculation:
**Energy of formation from the pure elements**: -259 meV/atom
**Space group**: No. 72
**ρ**: 8.19 g/cm³
**Total DFT energy (no corrections)**: -3.807 eV/atom